! U5PS4 PBE-GGA optimized geometry; values from VASP
! DOS(E_F) ... 26.41 states/eV per cell
! E_tot ... -9.11 eV per atom
! Crystal system ... orthorhombic
! Calculated density ... 10859 kg/m³
&SYSTEM
  ibrav = 0, nat = 10, ntyp = 3
/
ATOMIC_SPECIES
S 32.06 S.upf
P 30.97 P.upf
U 238.03 U.upf
CELL_PARAMETERS angstrom
-2.444 -2.682 0.977
3.619 -1.982 3.609
-4.352 8.341 4.783
ATOMIC_POSITIONS angstrom
S -0.168 -1.127 3.712
S -3.010 4.804 5.657
S -1.512 2.414 2.842
S -1.665 1.264 6.527
P 0.000 0.000 0.000
U 0.301 1.416 4.639
U -1.200 3.812 7.460
U -3.478 2.261 4.730
U 1.809 -0.991 1.804
U -1.977 -0.135 1.909